The following is a PBE-GGA calculation of a relaxed structure of Ta2CoOs, from Alexandria.

V = 65.4 Å³/cell
E_form = 287 kJ/mol of formula units
N(E_F) = 3.96 states/eV per cell
Energy above the lowest structure with this stoichiometry = 3.78 eV per formula unit

Unit cell a=5.609 b=5.609 c=5.609 alpha=59.15 beta=150.96 gamma=129.68
Element x y z (fractional)
1 Ta 0.000 0.238 0.238
2 Co 0.000 0.000 0.000
3 Ta 0.000 0.762 0.762
4 Os 0.000 0.500 0.500

=====

The following is a PBE-GGA calculation of a relaxed structure of Ta2CoOs, from Alexandria.

V = 61.7 Å³/cell
E_form = 24 kJ/mol of formula units
N(E_F) = 4.26 states/eV per cell
Energy above the lowest structure with this stoichiometry = 1.06 eV per formula unit

Unit cell a=2.742 b=2.742 c=8.204 alpha=90.00 beta=90.00 gamma=90.00
Element x y z (fractional)
1 Co 0.000 0.000 0.525
2 Os 0.500 0.500 0.715
3 Ta 0.000 0.000 0.986
4 Ta 0.500 0.500 0.274

=====

The following is a PBE-GGA calculation of a relaxed structure of TaCoOs2, from Alexandria.

V = 58.5 Å³/cell
E_form = 87 kJ/mol of formula units
N(E_F) = 7.81 states/eV per cell

Unit cell a=4.357 b=4.357 c=4.357 alpha=60.00 beta=60.00 gamma=60.00
Element x y z (fractional)
1 Co 0.500 0.500 0.500
2 Os 0.250 0.250 0.250
3 Os 0.000 0.000 0.000
4 Ta 0.750 0.750 0.750

=====

The following is a PBE-GGA calculation of a relaxed structure of Ta2CoOs, from Alexandria.

V = 61.7 Å³/cell
E_form = -75 kJ/mol of formula units
N(E_F) = 3.93 states/eV per cell
Energy above the lowest structure with this stoichiometry = 0.03 eV per formula unit

Unit cell a=3.079 b=3.080 c=7.195 alpha=64.65 beta=90.00 gamma=90.00
Element x y z (fractional)
1 Os 0.500 0.750 0.750
2 Ta 0.000 0.511 0.489
3 Ta 0.000 0.989 0.011
4 Co 0.500 0.250 0.250

=====

The following is a PBE-GGA calculation of a relaxed structure of TaCo2Os, from Alexandria.

V = 55.2 Å³/cell
E_form = 88 kJ/mol of formula units
N(E_F) = 5.42 states/eV per cell
Energy above the lowest structure with this stoichiometry = 1.65 eV per formula unit

Unit cell a=8.802 b=8.802 c=8.802 alpha=17.73 beta=17.73 gamma=17.73
Element x y z (fractional)
1 Os 0.507 0.507 0.507
2 Ta 0.746 0.746 0.746
3 Co 0.994 0.994 0.994
4 Co 0.253 0.253 0.253

=====

The following is a PBE-GGA calculation of a relaxed structure of TaCoOs, from Alexandria.

V = 48.2 Å³/cell
E_form = 100 kJ/mol of formula units
N(E_F) = 2.97 states/eV per cell
Energy above the lowest structure with this stoichiometry = 1.88 eV per formula unit

Unit cell a=4.085 b=4.085 c=4.085 alpha=60.00 beta=60.00 gamma=60.00
Element x y z (fractional)
1 Os 0.000 0.000 0.000
2 Ta 0.500 0.500 0.500
3 Co 0.750 0.750 0.750

=====

The following is a PBE-GGA calculation of a relaxed structure of TaCoOs2, from Alexandria.

V = 56.9 Å³/cell
E_form = -62 kJ/mol of formula units
N(E_F) = 4.71 states/eV per cell

Unit cell a=3.850 b=3.846 c=3.846 alpha=90.00 beta=90.00 gamma=90.00
Element x y z (fractional)
1 Os 0.000 0.500 0.500
2 Os 0.000 0.000 0.000
3 Co 0.500 0.000 0.500
4 Ta 0.500 0.500 0.000

=====

The following is a PBE-GGA calculation of a relaxed structure of TaCoOs, from Alexandria.

V = 43.0 Å³/cell
E_form = 10 kJ/mol of formula units
N(E_F) = 4.08 states/eV per cell
Energy above the lowest structure with this stoichiometry = 0.96 eV per formula unit

Unit cell a=6.093 b=6.092 c=2.728 alpha=77.10 beta=77.03 gamma=25.87
Element x y z (fractional)
1 Co 0.991 0.991 0.009
2 Os 0.349 0.349 0.651
3 Ta 0.661 0.661 0.339

=====

What is the formula in the fifth record?
TaCo2Os

=====

Number 2 is which compound?
Ta2CoOs

=====

The lowest N(E_F) belongs to which entry?
number 6